1.
K4Sr | GGA-PBE | relaxed

Properties
Crystal system: tetragonal
Calculated volume (Å³ per atom): 68.55
E above lowest polymorph (kcal/mol of atoms): 0.88

Structure (CIF):
```
data_K4Sr
_cell_length_a 10.533
_cell_length_b 10.533
_cell_length_c 6.179
_cell_angle_alpha 90.00
_cell_angle_beta 90.00
_cell_angle_gamma 90.00
_symmetry_space_group_name_H-M 'I 4/m'
_symmetry_Int_Tables_number 87
_symmetry_space_group_name_Hall '-I 4'
loop_
_atom_site_label
_atom_site_fract_x
_atom_site_fract_y
_atom_site_fract_z
K1 0.101 0.702 0.000
Sr1 0.000 0.000 0.500
```

=====

2.
K2Sr3 | GGA-PBE | relaxed

Properties
Crystal system: trigonal
Calculated volume (Å³ per atom): 68.16
E above lowest polymorph (kcal/mol of atoms): 6.35

Structure (CIF):
```
data_K2Sr3
_cell_length_a 6.8408
_cell_length_b 6.8408
_cell_length_c 8.4094
_cell_angle_alpha 90.00
_cell_angle_beta 90.00
_cell_angle_gamma 120.00
_symmetry_space_group_name_H-M 'P -3 m 1'
_symmetry_Int_Tables_number 164
_symmetry_space_group_name_Hall '-P 3 2"'
loop_
_atom_site_label
_atom_site_fract_x
_atom_site_fract_y
_atom_site_fract_z
K1 0.3333 0.6667 0.3495
Sr1 0.0000 0.0000 0.5000
Sr2 0.3333 0.6667 0.8540
```

=====

3.
K5Sr4 | GGA-PBE | relaxed

Properties
Crystal system: tetragonal
Calculated volume (Å³ per atom): 63.43

Structure (CIF):
```
data_K5Sr4
_cell_length_a 15.384
_cell_length_b 15.384
_cell_length_c 4.824
_cell_angle_alpha 90.00
_cell_angle_beta 90.00
_cell_angle_gamma 90.00
_symmetry_space_group_name_H-M 'I 4/m m m'
_symmetry_Int_Tables_number 139
_symmetry_space_group_name_Hall '-I 4 2'
loop_
_atom_site_label
_atom_site_fract_x
_atom_site_fract_y
_atom_site_fract_z
K1 0.000 0.000 0.000
K2 0.170 0.170 0.500
Sr1 0.000 0.345 0.000
```

=====

| no. | ΔE_f (eV/atom) | E (eV per atom) |
| --- | --- | --- |
| 1 | 0.09 | -1.126 |
| 2 | 0.32 | -1.132 |
| 3 | 0.08 | -1.277 |